Run one
Computed, not measured: crystalline Sm4Ho at its relaxed geometry at the GGA-PBE level of DFT.

a b c (Å): 3.606 3.606 13.018
angles (deg): 97.96 97.96 90.00
Element x y z (fractional)
Sm 0.801 0.801 0.601
Sm 0.199 0.199 0.399
Sm 0.401 0.401 0.803
Sm 0.599 0.599 0.197
Ho 0.000 0.000 0.000

## Properties
DOS at the Fermi energy in states/eV per cell: 6.573
Space group: I4/mmm



Run two
Computed, not measured: crystalline Sm4Ho at its relaxed geometry at the GGA-PBE level of DFT.

a b c (Å): 5.760 5.760 5.760
angles (deg): 90.00 90.00 90.00
Element x y z (fractional)
Sm 0.000 0.500 0.500
Ho 0.500 0.500 0.500
Sm 0.000 0.000 0.000
Sm 0.500 0.000 0.500
Sm 0.500 0.500 0.000

## Properties
DOS at the Fermi energy in states/eV per cell: 8.017
Space group: Pm-3m



Energetically preferred structure: run one | next structure: +0.644 eV/atom



Run one
Computed, not measured: crystalline Sm7Ho5 at its relaxed geometry at the GGA-PBE level of DFT.

a b c (Å): 5.757 5.619 14.750
angles (deg): 101.56 90.00 120.82
Element x y z (fractional)
Sm 0.238 0.477 0.671
Sm 0.683 0.366 0.083
Ho 0.142 0.285 0.440
Ho 0.378 0.755 0.199
Ho 0.000 0.000 0.000
Sm 0.957 0.913 0.787
Sm 0.762 0.523 0.329
Ho 0.622 0.245 0.801
Ho 0.858 0.715 0.560
Sm 0.500 0.000 0.500
Sm 0.317 0.634 0.917
Sm 0.043 0.087 0.213

## Properties
DOS at the Fermi energy in states/eV per cell: 20.276
Space group: C2/m



Run two
Computed, not measured: crystalline Sm7Ho5 at its relaxed geometry at the GGA-PBE level of DFT.

a b c (Å): 3.602 9.509 12.165
angles (deg): 73.76 81.49 79.08
Element x y z (fractional)
Sm 0.361 0.028 0.251
Sm 0.639 0.972 0.749
Sm 0.028 0.694 0.250
Sm 0.667 0.668 0.998
Sm 0.333 0.332 0.002
Ho 0.694 0.360 0.252
Ho 0.306 0.640 0.748
Ho 0.000 0.000 0.000
Ho 0.168 0.166 0.499
Sm 0.500 0.500 0.500
Sm 0.972 0.306 0.750
Ho 0.832 0.834 0.501

## Properties
DOS at the Fermi energy in states/eV per cell: 16.001
Space group: C2/m



Energetically preferred structure: run two | next structure: +0.170 eV/atom